1.
# HfPaCoRh | Alexandria | GGA-PBE | relaxed
data_HfPaCoRh
_cell_length_a 6.632
_cell_length_b 6.632
_cell_length_c 6.632
_cell_angle_alpha 90.00
_cell_angle_beta 90.00
_cell_angle_gamma 90.00
_space_group_name_H-M_alt 'P 1'
_space_group_IT_number 1
loop_
_space_group_symop_operation_xyz
'x,y,z'
loop_
_atom_site_label
_atom_site_type_symbol
_atom_site_fract_x
_atom_site_fract_y
_atom_site_fract_z
Hf1 Hf 0.000 0.000 0.000
Hf2 Hf 0.000 0.500 0.500
Hf3 Hf 0.500 0.000 0.500
Hf4 Hf 0.500 0.500 0.000
Pa1 Pa 0.000 0.000 0.500
Pa2 Pa 0.000 0.500 0.000
Pa3 Pa 0.500 0.000 0.000
Pa4 Pa 0.500 0.500 0.500
Co1 Co 0.250 0.250 0.250
Co2 Co 0.250 0.750 0.750
Co3 Co 0.750 0.250 0.750
Co4 Co 0.750 0.750 0.250
Rh1 Rh 0.250 0.250 0.750
Rh2 Rh 0.250 0.750 0.250
Rh3 Rh 0.750 0.250 0.250
Rh4 Rh 0.750 0.750 0.750
# - Total moment: 0.00 μB/cell
# - DFT formation energy: -374.2 meV per atom

***

2.
# Pu2Ni2Sb | Alexandria | GGA-PBE | relaxed
data_Pu2Ni2Sb
_cell_length_a 5.527
_cell_length_b 5.527
_cell_length_c 7.871
_cell_angle_alpha 102.96
_cell_angle_beta 102.96
_cell_angle_gamma 59.08
_space_group_name_H-M_alt 'P 1'
_space_group_IT_number 1
loop_
_space_group_symop_operation_xyz
'x,y,z'
loop_
_atom_site_label
_atom_site_type_symbol
_atom_site_fract_x
_atom_site_fract_y
_atom_site_fract_z
Pu1 Pu 0.006 0.295 0.152
Pu2 Pu 0.295 0.006 0.652
Pu3 Pu 0.705 0.994 0.348
Pu4 Pu 0.994 0.705 0.848
Ni1 Ni 0.218 0.501 0.502
Ni2 Ni 0.499 0.782 0.998
Ni3 Ni 0.501 0.218 0.002
Ni4 Ni 0.782 0.499 0.498
Sb1 Sb 0.341 0.659 0.250
Sb2 Sb 0.659 0.341 0.750
# - Total moment: 22.03 μB/cell
# - Formation energy from raw total energies: -0.37 eV/atom

***

3.
# BaNiAg | Alexandria | GGA-PBE | relaxed
data_BaNiAg
_cell_length_a 3.669
_cell_length_b 3.669
_cell_length_c 10.959
_cell_angle_alpha 90.00
_cell_angle_beta 90.00
_cell_angle_gamma 90.00
_space_group_name_H-M_alt 'P 1'
_space_group_IT_number 1
loop_
_space_group_symop_operation_xyz
'x,y,z'
loop_
_atom_site_label
_atom_site_type_symbol
_atom_site_fract_x
_atom_site_fract_y
_atom_site_fract_z
Ba1 Ba 0.000 0.000 0.000
Ba2 Ba 0.500 0.500 0.500
Ni1 Ni 0.000 0.000 0.715
Ni2 Ni 0.500 0.500 0.215
Ag1 Ag 0.000 0.000 0.284
Ag2 Ag 0.500 0.500 0.784
# - Total moment: 0.00 μB/cell
# - DFT formation energy: 211.2 meV per atom

***

4.
# EuDy2Ir | Alexandria | GGA-PBE | relaxed
data_EuDy2Ir
_cell_length_a 3.513
_cell_length_b 3.513
_cell_length_c 9.306
_cell_angle_alpha 90.00
_cell_angle_beta 90.00
_cell_angle_gamma 90.00
_space_group_name_H-M_alt 'P 1'
_space_group_IT_number 1
loop_
_space_group_symop_operation_xyz
'x,y,z'
loop_
_atom_site_label
_atom_site_type_symbol
_atom_site_fract_x
_atom_site_fract_y
_atom_site_fract_z
Eu1 Eu 0.000 0.000 0.000
Dy1 Dy 0.500 0.500 0.328
Dy2 Dy 0.500 0.500 0.672
Ir1 Ir 0.000 0.000 0.500
# - Total moment: 7.69 μB/cell
# - Energy above the most stable polymorph in this dataset: 0 meV/atom
# - DFT formation energy: -408.7 meV per atom

***

5.
# CrMoPb2 | Alexandria | GGA-PBE | relaxed
data_CrMoPb2
_cell_length_a 7.045
_cell_length_b 7.045
_cell_length_c 7.045
_cell_angle_alpha 90.00
_cell_angle_beta 90.00
_cell_angle_gamma 90.00
_space_group_name_H-M_alt 'P 1'
_space_group_IT_number 1
loop_
_space_group_symop_operation_xyz
'x,y,z'
loop_
_atom_site_label
_atom_site_type_symbol
_atom_site_fract_x
_atom_site_fract_y
_atom_site_fract_z
Cr1 Cr 0.000 0.000 0.000
Cr2 Cr 0.000 0.500 0.500
Cr3 Cr 0.500 0.000 0.500
Cr4 Cr 0.500 0.500 0.000
Mo1 Mo 0.250 0.250 0.250
Mo2 Mo 0.250 0.750 0.750
Mo3 Mo 0.750 0.250 0.750
Mo4 Mo 0.750 0.750 0.250
Pb1 Pb 0.000 0.000 0.500
Pb2 Pb 0.000 0.500 0.000
Pb3 Pb 0.250 0.250 0.750
Pb4 Pb 0.250 0.750 0.250
Pb5 Pb 0.500 0.000 0.000
Pb6 Pb 0.500 0.500 0.500
Pb7 Pb 0.750 0.250 0.250
Pb8 Pb 0.750 0.750 0.750
# - Total moment: 1.28 μB/cell
# - Energy above the most stable polymorph in this dataset: 523 meV/atom
# - DFT formation energy: 904.4 meV per atom

***

6.
# Ba4Ac3AgO8 | Alexandria | GGA-PBE | relaxed
data_Ba4Ac3AgO8
_cell_length_a 7.773
_cell_length_b 7.773
_cell_length_c 7.773
_cell_angle_alpha 59.44
_cell_angle_beta 59.44
_cell_angle_gamma 59.44
_space_group_name_H-M_alt 'P 1'
_space_group_IT_number 1
loop_
_space_group_symop_operation_xyz
'x,y,z'
loop_
_atom_site_label
_atom_site_type_symbol
_atom_site_fract_x
_atom_site_fract_y
_atom_site_fract_z
Ba1 Ba 0.000 0.000 0.000
Ba2 Ba 0.000 0.500 0.500
Ba3 Ba 0.500 0.000 0.500
Ba4 Ba 0.500 0.500 0.000
Ac1 Ac 0.000 0.000 0.500
Ac2 Ac 0.000 0.500 0.000
Ac3 Ac 0.500 0.000 0.000
Ag1 Ag 0.500 0.500 0.500
O1 O 0.216 0.755 0.755
O2 O 0.238 0.238 0.238
O3 O 0.245 0.245 0.784
O4 O 0.245 0.784 0.245
O5 O 0.755 0.216 0.755
O6 O 0.755 0.755 0.216
O7 O 0.762 0.762 0.762
O8 O 0.784 0.245 0.245
# - Total moment: 0.01 μB/cell
# - Formation energy from raw total energies: -2.38 eV/atom

***

7.
# NdSmTmSc | Alexandria | GGA-PBE | relaxed
data_NdSmTmSc
_cell_length_a 12.133
_cell_length_b 5.656
_cell_length_c 3.805
_cell_angle_alpha 90.00
_cell_angle_beta 108.19
_cell_angle_gamma 90.00
_space_group_name_H-M_alt 'P 1'
_space_group_IT_number 1
loop_
_space_group_symop_operation_xyz
'x,y,z'
loop_
_atom_site_label
_atom_site_type_symbol
_atom_site_fract_x
_atom_site_fract_y
_atom_site_fract_z
Nd1 Nd 0.000 0.000 0.000
Nd2 Nd 0.500 0.500 0.000
Sm1 Sm 0.275 0.000 0.783
Sm2 Sm 0.775 0.500 0.783
Tm1 Tm 0.038 0.500 0.540
Tm2 Tm 0.538 0.000 0.540
Sc1 Sc 0.265 0.500 0.269
Sc2 Sc 0.765 0.000 0.269
# - Total moment: 0.00 μB/cell
# - Energy above the most stable polymorph in this dataset: 3 meV/atom
# - DFT formation energy: 96.6 meV per atom

***

8.
# CeDy4Y3Se8 | Alexandria | GGA-PBE | relaxed
data_CeDy4Y3Se8
_cell_length_a 8.191
_cell_length_b 8.191
_cell_length_c 8.191
_cell_angle_alpha 120.00
_cell_angle_beta 120.00
_cell_angle_gamma 60.00
_space_group_name_H-M_alt 'P 1'
_space_group_IT_number 1
loop_
_space_group_symop_operation_xyz
'x,y,z'
loop_
_atom_site_label
_atom_site_type_symbol
_atom_site_fract_x
_atom_site_fract_y
_atom_site_fract_z
Ce1 Ce 0.000 0.000 0.000
Dy1 Dy 0.000 0.000 0.500
Dy2 Dy 0.000 0.500 0.500
Dy3 Dy 0.500 0.000 0.500
Dy4 Dy 0.500 0.500 0.500
Y1 Y 0.000 0.500 0.000
Y2 Y 0.500 0.000 0.000
Y3 Y 0.500 0.500 0.000
Se1 Se 0.250 0.250 0.749
Se2 Se 0.252 0.747 0.746
Se3 Se 0.253 0.253 0.254
Se4 Se 0.253 0.748 0.254
Se5 Se 0.747 0.252 0.746
Se6 Se 0.747 0.747 0.746
Se7 Se 0.748 0.253 0.254
Se8 Se 0.750 0.750 0.251
# - Total moment: 0.76 μB/cell
# - Formation energy from raw total energies: -1.77 eV/atom

***

9.
# AcTbDyTm | Alexandria | GGA-PBE | relaxed
data_AcTbDyTm
_cell_length_a 3.671
_cell_length_b 3.671
_cell_length_c 35.310
_cell_angle_alpha 90.00
_cell_angle_beta 90.00
_cell_angle_gamma 120.00
_space_group_name_H-M_alt 'P 1'
_space_group_IT_number 1
loop_
_space_group_symop_operation_xyz
'x,y,z'
loop_
_atom_site_label
_atom_site_type_symbol
_atom_site_fract_x
_atom_site_fract_y
_atom_site_fract_z
Ac1 Ac 0.000 0.000 0.000
Ac2 Ac 0.333 0.667 0.667
Ac3 Ac 0.667 0.333 0.333
Tb1 Tb 0.000 0.000 0.246
Tb2 Tb 0.333 0.667 0.912
Tb3 Tb 0.667 0.333 0.579
Dy1 Dy 0.000 0.000 0.421
Dy2 Dy 0.333 0.667 0.088
Dy3 Dy 0.667 0.333 0.755
Tm1 Tm 0.000 0.000 0.834
Tm2 Tm 0.333 0.667 0.500
Tm3 Tm 0.667 0.333 0.167
# - Total moment: 0.00 μB/cell
# - Energy above the most stable polymorph in this dataset: 0 meV/atom
# - DFT formation energy: 68.5 meV per atom

***

10.
# ReAg3 | Alexandria | GGA-PBE | relaxed
data_ReAg3
_cell_length_a 2.675
_cell_length_b 4.768
_cell_length_c 5.325
_cell_angle_alpha 90.00
_cell_angle_beta 94.80
_cell_angle_gamma 90.00
_space_group_name_H-M_alt 'P 1'
_space_group_IT_number 1
loop_
_space_group_symop_operation_xyz
'x,y,z'
loop_
_atom_site_label
_atom_site_type_symbol
_atom_site_fract_x
_atom_site_fract_y
_atom_site_fract_z
Re1 Re 0.000 0.000 0.000
Ag1 Ag 0.294 0.500 0.756
Ag2 Ag 0.500 0.000 0.500
Ag3 Ag 0.706 0.500 0.244
# - Total moment: 0.00 μB/cell
# - Energy above the most stable polymorph in this dataset: 256 meV/atom
# - DFT formation energy: 644.1 meV per atom

***

11.
# Mg2Pd4Au | Alexandria | GGA-PBE | relaxed
data_Mg2Pd4Au
_cell_length_a 3.692
_cell_length_b 3.692
_cell_length_c 18.710
_cell_angle_alpha 90.00
_cell_angle_beta 90.00
_cell_angle_gamma 90.00
_space_group_name_H-M_alt 'P 1'
_space_group_IT_number 1
loop_
_space_group_symop_operation_xyz
'x,y,z'
loop_
_atom_site_label
_atom_site_type_symbol
_atom_site_fract_x
_atom_site_fract_y
_atom_site_fract_z
Mg1 Mg 0.000 0.000 0.101
Mg2 Mg 0.000 0.000 0.899
Mg3 Mg 0.500 0.500 0.399
Mg4 Mg 0.500 0.500 0.601
Pd1 Pd 0.000 0.000 0.358
Pd2 Pd 0.000 0.000 0.642
Pd3 Pd 0.000 0.500 0.250
Pd4 Pd 0.000 0.500 0.750
Pd5 Pd 0.500 0.000 0.250
Pd6 Pd 0.500 0.000 0.750
Pd7 Pd 0.500 0.500 0.142
Pd8 Pd 0.500 0.500 0.858
Au1 Au 0.000 0.000 0.500
Au2 Au 0.500 0.500 0.000
# - Total moment: 0.00 μB/cell
# - Energy above the most stable polymorph in this dataset: 0 meV/atom
# - DFT formation energy: -290.8 meV per atom

***

12.
# Ce4FePb | Alexandria | GGA-PBE | relaxed
data_Ce4FePb
_cell_length_a 8.143
_cell_length_b 8.143
_cell_length_c 5.904
_cell_angle_alpha 99.96
_cell_angle_beta 99.96
_cell_angle_gamma 123.33
_space_group_name_H-M_alt 'P 1'
_space_group_IT_number 1
loop_
_space_group_symop_operation_xyz
'x,y,z'
loop_
_atom_site_label
_atom_site_type_symbol
_atom_site_fract_x
_atom_site_fract_y
_atom_site_fract_z
Ce1 Ce 0.131 0.756 0.945
Ce2 Ce 0.180 0.335 0.647
Ce3 Ce 0.244 0.869 0.555
Ce4 Ce 0.335 0.180 0.147
Ce5 Ce 0.665 0.820 0.853
Ce6 Ce 0.756 0.131 0.445
Ce7 Ce 0.820 0.665 0.353
Ce8 Ce 0.869 0.244 0.055
Fe1 Fe 0.016 0.984 0.250
Fe2 Fe 0.984 0.016 0.750
Pb1 Pb 0.385 0.615 0.250
Pb2 Pb 0.615 0.385 0.750
# - Total moment: 0.72 μB/cell
# - Energy above the most stable polymorph in this dataset: 0 meV/atom
# - DFT formation energy: -174.5 meV per atom

***

- What is the formula in the third record?
  BaNiAg

***

- Which value of total moment does entry 3 give?
  0.00 μB/cell